Record 1
! Ti7Pt2O2 (PBE-GGA, relaxed); values from VASP
&SYSTEM
  ibrav = 0, nat = 11, ntyp = 3
/
ATOMIC_SPECIES
Pt 195.08 Pt.upf
Ti 47.87 Ti.upf
O 16.00 O.upf
CELL_PARAMETERS angstrom
-0.810 2.478 -1.056
-5.516 -2.544 -5.487
-8.019 -0.340 1.610
ATOMIC_POSITIONS crystal
Pt 0.000 0.727 0.273
Pt 0.500 0.356 0.644
Ti 0.183 0.720 0.915
Ti 0.500 0.025 0.975
Ti 0.158 0.097 0.587
Ti 0.645 0.441 0.268
Ti 0.842 0.413 0.903
Ti 0.817 0.085 0.280
Ti 0.355 0.732 0.559
O 0.744 0.885 0.627
O 0.256 0.373 0.115
! calculated total energy	-88.92	eV for the cell shown
! size of the total moment	0.78	μB/f.u.
! E_form (uncorrected)	-1060	meV/atom



Record 2
! KNdPd10 (PBE-GGA, relaxed); values from VASP
&SYSTEM
  ibrav = 0, nat = 12, ntyp = 3
/
ATOMIC_SPECIES
Pd 106.42 Pd.upf
K 39.10 K.upf
Nd 144.24 Nd.upf
CELL_PARAMETERS angstrom
-2.890 3.378 -0.273
-1.070 -1.334 -5.170
-6.884 -5.656 2.885
ATOMIC_POSITIONS crystal
Pd 0.000 0.500 0.839
Pd 0.500 0.247 0.756
Pd 0.500 0.247 0.244
Pd 0.000 0.000 0.326
Pd 0.500 0.000 0.500
Pd 0.000 0.000 0.674
Pd 0.000 0.500 0.161
Pd 0.500 0.753 0.244
Pd 0.500 0.500 0.000
Pd 0.500 0.753 0.756
K 0.000 0.500 0.500
Nd 0.000 0.000 0.000
! calculated total energy	-60.66	eV for the cell shown
! calculated formation energy	-23	kJ/mol of atoms
! size of the total moment	0.00	μB/f.u.



Record 3
! Rb3TeAu (PBE-GGA, relaxed); values from VASP
&SYSTEM
  ibrav = 0, nat = 10, ntyp = 3
/
ATOMIC_SPECIES
Rb 85.47 Rb.upf
Au 196.97 Au.upf
Te 127.60 Te.upf
CELL_PARAMETERS angstrom
5.287 -0.793 -0.165
-3.997 9.764 -1.568
-0.048 -2.190 9.394
ATOMIC_POSITIONS crystal
Rb 0.209 0.514 0.997
Rb 0.949 0.254 0.285
Rb 0.632 0.937 0.793
Rb 0.095 0.900 0.136
Rb 0.412 0.217 0.629
Rb 0.835 0.641 0.424
Au 0.823 0.628 0.773
Au 0.221 0.526 0.648
Te 0.441 0.246 0.031
Te 0.603 0.908 0.391
! calculated total energy	-25.64	eV for the cell shown
! excess energy over the best structure of this formula in the dataset	0	meV per atom
! size of the total moment	0.00	μB/f.u.
! E_form (uncorrected)	-700	meV/atom



Record 4
! Tc2HgSb (PBE-GGA, relaxed); values from VASP
&SYSTEM
  ibrav = 0, nat = 4, ntyp = 3
/
ATOMIC_SPECIES
Tc 98.00 Tc.upf
Sb 121.76 Sb.upf
Hg 200.59 Hg.upf
CELL_PARAMETERS angstrom
-8.814 0.552 -0.308
-8.489 -2.091 1.284
-8.370 0.635 2.761
ATOMIC_POSITIONS crystal
Tc 0.005 0.005 0.005
Tc 0.495 0.495 0.495
Sb 0.750 0.750 0.750
Hg 0.250 0.250 0.250
! calculated total energy	-23.14	eV for the cell shown
! excess energy over the best structure of this formula in the dataset	323	meV per atom
! size of the total moment	0.48	μB/f.u.
! E_form (uncorrected)	503	meV/atom



Record 5
! Sr2BiSe3 (PBE-GGA, relaxed); values from VASP
&SYSTEM
  ibrav = 0, nat = 12, ntyp = 3
/
ATOMIC_SPECIES
Se 78.96 Se.upf
Sr 87.62 Sr.upf
Bi 208.98 Bi.upf
CELL_PARAMETERS angstrom
-3.947 -5.059 -0.513
7.005 -5.500 0.344
-0.293 3.652 6.618
ATOMIC_POSITIONS crystal
Se 0.840 0.920 0.679
Se 0.839 0.420 0.679
Se 0.501 0.250 0.000
Se 0.161 0.580 0.321
Se 0.499 0.750 0.000
Se 0.160 0.080 0.321
Sr 0.665 0.582 0.329
Sr 0.664 0.082 0.329
Sr 0.336 0.918 0.671
Sr 0.335 0.418 0.671
Bi 0.999 0.750 0.000
Bi 0.001 0.250 0.000
! calculated total energy	-51.86	eV for the cell shown
! size of the total moment	0.00	μB/f.u.
! E_form (uncorrected)	-1372	meV/atom



Record 6
! Mg6NbAlO8 (PBE-GGA, relaxed); values from VASP
&SYSTEM
  ibrav = 0, nat = 16, ntyp = 4
/
ATOMIC_SPECIES
O 16.00 O.upf
Mg 24.30 Mg.upf
Nb 92.91 Nb.upf
Al 26.98 Al.upf
CELL_PARAMETERS angstrom
4.323 0.000 0.000
0.000 4.323 0.000
0.000 0.000 8.679
ATOMIC_POSITIONS crystal
O 0.000 0.000 0.761
O 0.000 0.500 0.000
O 0.500 0.000 0.000
O 0.500 0.500 0.267
O 0.000 0.000 0.239
O 0.500 0.500 0.733
O 0.500 0.000 0.500
O 0.000 0.500 0.500
Mg 0.500 0.000 0.252
Mg 0.500 0.500 0.500
Mg 0.500 0.000 0.748
Mg 0.000 0.000 0.500
Mg 0.000 0.500 0.252
Mg 0.000 0.500 0.748
Nb 0.500 0.500 0.000
Al 0.000 0.000 0.000
! calculated total energy	-98.84	eV for the cell shown
! excess energy over the best structure of this formula in the dataset	27	meV per atom
! size of the total moment	0.35	μB/f.u.
! E_form (uncorrected)	-2237	meV/atom